# 1
Material: BeGaBi2
Method: DFT, meta-GGA SCAN
State: single point on PBEsol structure

Calculated values
* formation energy from the elements: 0.5674 eV per atom
* uncorrected energy: -175.59 eV per cell
* DOS(E_F): 0.578 states/eV per atom

a b c (Å): 5.030 5.030 5.030
angles (deg): 60.00 60.00 60.00
Sites, in units of the cell vectors:
Be 0.000 0.000 0.000
Bi 0.250 0.250 0.250
Bi 0.750 0.750 0.750
Ga 0.500 0.500 0.500

---

# 2
Material: Be3GeBi
Method: DFT, meta-GGA SCAN
State: single point on PBEsol structure

Calculated values
* formation energy from the elements: 0.7984 eV per atom
* uncorrected energy: -106.74 eV per cell
* DOS(E_F): 0.418 states/eV per atom

a b c (Å): 4.374 4.374 4.374
angles (deg): 90.00 90.00 90.00
Sites, in units of the cell vectors:
Be 0.000 0.500 0.000
Be 0.000 0.000 0.500
Be 0.500 0.000 0.000
Ge 0.000 0.000 0.000
Bi 0.500 0.500 0.500

---

# 3
Material: BeBiH3
Method: DFT, meta-GGA SCAN
State: single point on PBEsol structure

Calculated values
* uncorrected energy: -89.61 eV per cell
* DOS(E_F): 0.462 states/eV per atom

a b c (Å): 3.596 3.596 3.596
angles (deg): 90.00 90.00 90.00
Sites, in units of the cell vectors:
Be 0.000 0.000 0.000
Bi 0.500 0.500 0.500
H 0.000 0.500 0.000
H 0.000 0.000 0.500
H 0.500 0.000 0.000

---

# 4
Material: MnBe2BiH
Method: DFT, meta-GGA SCAN
State: single point on PBEsol structure

Calculated values
* uncorrected energy: -103.29 eV per cell
* DOS(E_F): 0.431 states/eV per atom

a b c (Å): 3.616 4.875 4.875
angles (deg): 90.00 90.00 90.00
Site moments in Bohr magnetons follow the coordinates.
Sites, in units of the cell vectors:
Be 0.000 0.000 0.500  -0.07
Be 0.000 0.500 0.000  -0.07
Mn 0.500 0.500 0.500  4.40
Bi 0.000 0.000 0.000  0.02
H 0.500 0.000 0.000  0.01

---

# 5
Material: HfBeReBi2
Method: DFT, meta-GGA SCAN
State: single point on PBEsol structure

Calculated values
* formation energy from the elements: 1.2442 eV per atom
* uncorrected energy: -289.06 eV per cell
* DOS(E_F): 0.869 states/eV per atom

a b c (Å): 5.018 5.203 5.203
angles (deg): 90.00 90.00 90.00
Sites, in units of the cell vectors:
Re 0.000 0.000 0.000
Hf 0.500 0.000 0.000
Bi 0.000 0.000 0.500
Bi 0.000 0.500 0.000
Be 0.500 0.500 0.500

---

# 6
Material: Be3HgBi
Method: DFT, meta-GGA SCAN
State: single point on PBEsol structure

Calculated values
* relative energy among the computed polymorphs: 0.00 eV/f.u.
* formation energy from the elements: 0.7592 eV per atom
* uncorrected energy: -156.01 eV per cell
* DOS(E_F): 0.292 states/eV per atom

a b c (Å): 4.510 4.510 4.510
angles (deg): 90.00 90.00 90.00
Sites, in units of the cell vectors:
Be 0.000 0.500 0.000
Be 0.000 0.000 0.500
Be 0.500 0.000 0.000
Bi 0.500 0.500 0.500
Hg 0.000 0.000 0.000

---

# 7
Material: Be2HgBi
Method: DFT, meta-GGA SCAN
State: single point on PBEsol structure

Calculated values
* formation energy from the elements: 0.4192 eV per atom
* uncorrected energy: -307.55 eV per cell
* DOS(E_F): 0.344 states/eV per atom

a b c (Å): 4.399 4.399 8.602
angles (deg): 104.82 104.82 90.00
Sites, in units of the cell vectors:
Be 0.747 0.375 0.250
Be 0.503 0.875 0.250
Be 0.625 0.497 0.750
Be 0.125 0.253 0.750
Bi 0.250 0.750 0.500
Bi 0.000 0.000 0.000
Hg 0.750 0.250 0.500
Hg 0.500 0.500 0.000

---

# 8
Material: Be3HgBi
Method: DFT, meta-GGA SCAN
State: single point on PBEsol structure

Calculated values
* relative energy among the computed polymorphs: 3.06 eV/f.u.
* formation energy from the elements: 1.3713 eV per atom
* uncorrected energy: -152.95 eV per cell
* DOS(E_F): 0.513 states/eV per atom

a b c (Å): 4.810 4.810 4.810
angles (deg): 90.00 90.00 90.00
Sites, in units of the cell vectors:
Be 0.000 0.500 0.000
Be 0.000 0.000 0.500
Be 0.500 0.000 0.000
Bi 0.000 0.000 0.000
Hg 0.500 0.500 0.500

---

# 9
Material: ScBe2HgBi
Method: DFT, meta-GGA SCAN
State: single point on PBEsol structure

Calculated values
* formation energy from the elements: 0.5012 eV per atom
* uncorrected energy: -167.18 eV per cell
* DOS(E_F): 0.395 states/eV per atom

a b c (Å): 4.372 4.372 5.971
angles (deg): 90.00 90.00 90.00
Sites, in units of the cell vectors:
Sc 0.500 0.500 0.500
Be 0.000 0.500 0.000
Be 0.500 0.000 0.000
Bi 0.000 0.000 0.500
Hg 0.000 0.000 0.000

---

# 10
Material: BeBiI2N
Method: DFT, meta-GGA SCAN
State: single point on PBEsol structure

Calculated values
* uncorrected formation energy: 0.395 eV/atom
* uncorrected energy: -163.73 eV per cell
* DOS(E_F): 0.555 states/eV per atom

a b c (Å): 3.086 6.393 6.393
angles (deg): 90.00 90.00 90.00
Site moments in Bohr magnetons follow the coordinates.
Sites, in units of the cell vectors:
I 0.000 0.000 0.500  0.05
I 0.000 0.500 0.000  0.05
Be 0.000 0.000 0.000  -0.04
Bi 0.500 0.500 0.500  -0.01
N 0.500 0.000 0.000  0.67

---

# 11
Material: BeBiSbI2
Method: DFT, meta-GGA SCAN
State: single point on PBEsol structure

Calculated values
* uncorrected formation energy: 0.916 eV/atom
* uncorrected energy: -189.10 eV per cell
* DOS(E_F): 0.412 states/eV per atom

a b c (Å): 6.072 6.044 6.044
angles (deg): 90.00 90.00 90.00
Site moments in Bohr magnetons follow the coordinates.
Sites, in units of the cell vectors:
I 0.000 0.000 0.500  0.06
I 0.000 0.500 0.000  0.06
Sb 0.500 0.000 0.000  0.62
Bi 0.000 0.000 0.000  -0.05
Be 0.500 0.500 0.500  0.06

---

# 12
Material: BeInBi
Method: DFT, meta-GGA SCAN
State: single point on PBEsol structure

Calculated values
* formation energy from the elements: 0.6865 eV per atom
* uncorrected energy: -114.26 eV per cell
* DOS(E_F): 0.309 states/eV per atom

a b c (Å): 4.882 4.882 4.882
angles (deg): 60.00 60.00 60.00
Sites, in units of the cell vectors:
Be 0.500 0.500 0.500
Bi 0.750 0.750 0.750
In 0.000 0.000 0.000